## Na2YCl (GGA-PBE)

Data for a relaxed structure of Na2YCl.

Structure (POSCAR):
```
Na2YCl
1.0
0.000 4.008 4.008
4.008 0.000 4.008
4.008 4.008 0.000
Cl Y Na
1 1 2
direct
0.000 0.000 0.000 Cl
0.500 0.500 0.500 Y
0.750 0.750 0.750 Na
0.250 0.250 0.250 Na
```

Results
* energy above the lowest structure with this stoichiometry: 0.452 eV per atom
* space group: Fm-3m
* energy relative to the elements, uncorrected: 0.4 eV/f.u.
* M_tot: 0.000 μB per atom
* electronic total energy: -2.63 eV per atom